# 1
An optimized crystal structure of Ca3CoO6, computed with PBEsol.

Values from the calculation:
* N(E_F): 9.97 states/eV/cell
* crystal system: trigonal

Cell lengths 6.265, 6.265, 6.265 Å; angles 88.06, 88.06, 88.06 degrees
Sites, in units of the cell vectors:
Ca 0.102 0.750 0.398
Ca 0.250 0.602 0.898
Ca 0.398 0.102 0.750
Ca 0.602 0.898 0.250
Ca 0.750 0.398 0.102
Ca 0.898 0.250 0.602
Co 0.000 0.000 0.000
Co 0.500 0.500 0.500
O 0.068 0.924 0.724
O 0.076 0.276 0.932
O 0.224 0.424 0.568
O 0.276 0.932 0.076
O 0.424 0.568 0.224
O 0.432 0.776 0.576
O 0.568 0.224 0.424
O 0.576 0.432 0.776
O 0.724 0.068 0.924
O 0.776 0.576 0.432
O 0.924 0.724 0.068
O 0.932 0.076 0.276

***

# 2
An optimized crystal structure of CaCo2O4, computed with PBEsol.

Values from the calculation:
* crystal system: orthorhombic
* energy relative to the lowest polymorph listed for this composition: 0 meV/atom

Cell lengths 5.660, 10.626, 4.909 Å; angles 90.00, 90.00, 90.00 degrees
Sites, in units of the cell vectors:
Ca 0.250 0.250 0.035
Ca 0.250 0.750 0.357
Ca 0.750 0.250 0.643
Ca 0.750 0.750 0.965
Co 0.000 0.000 0.500
Co 0.000 0.500 0.500
Co 0.250 0.505 0.998
Co 0.250 0.995 0.998
Co 0.500 0.000 0.500
Co 0.500 0.500 0.500
Co 0.750 0.005 0.002
Co 0.750 0.495 0.002
O 0.003 0.095 0.834
O 0.003 0.405 0.834
O 0.250 0.087 0.331
O 0.250 0.413 0.331
O 0.250 0.593 0.666
O 0.250 0.907 0.666
O 0.497 0.095 0.834
O 0.497 0.405 0.834
O 0.503 0.595 0.166
O 0.503 0.905 0.166
O 0.750 0.093 0.334
O 0.750 0.407 0.334
O 0.750 0.587 0.669
O 0.750 0.913 0.669
O 0.997 0.595 0.166
O 0.997 0.905 0.166

***

# 3
An optimized crystal structure of CaCoP4O12, computed with PBEsol.

Values from the calculation:
* N(E_F): 7.90 states/eV/cell
* crystal system: monoclinic

Cell lengths 7.504, 7.504, 9.838 Å; angles 112.91, 112.91, 70.91 degrees
Sites, in units of the cell vectors:
Ca 0.053 0.947 0.750
Ca 0.947 0.053 0.250
Co 0.000 0.500 0.500
Co 0.500 0.000 0.000
P 0.278 0.719 0.030
P 0.281 0.722 0.470
P 0.305 0.311 0.802
P 0.311 0.305 0.302
P 0.689 0.695 0.698
P 0.695 0.689 0.198
P 0.719 0.278 0.530
P 0.722 0.281 0.970
O 0.100 0.825 0.081
O 0.129 0.292 0.326
O 0.175 0.900 0.419
O 0.178 0.354 0.654
O 0.206 0.677 0.573
O 0.263 0.491 0.948
O 0.292 0.129 0.826
O 0.295 0.531 0.321
O 0.323 0.794 0.927
O 0.354 0.178 0.154
O 0.469 0.705 0.179
O 0.491 0.263 0.448
O 0.509 0.737 0.552
O 0.531 0.295 0.821
O 0.646 0.822 0.846
O 0.677 0.206 0.073
O 0.705 0.469 0.679
O 0.708 0.871 0.174
O 0.737 0.509 0.052
O 0.794 0.323 0.427
O 0.822 0.646 0.346
O 0.825 0.100 0.581
O 0.871 0.708 0.674
O 0.900 0.175 0.919

***

# 4
An optimized crystal structure of SrCaCoP2O8, computed with PBEsol.

Values from the calculation:
* N(E_F): 3.80 states/eV/cell
* crystal system: triclinic

Cell lengths 5.576, 6.886, 9.370 Å; angles 109.42, 101.07, 99.11 degrees
Sites, in units of the cell vectors:
Sr 0.239 0.191 0.439
Sr 0.761 0.809 0.561
Ca 0.496 0.590 0.842
Ca 0.504 0.410 0.158
Co 0.136 0.848 0.064
Co 0.864 0.152 0.936
P 0.107 0.580 0.277
P 0.335 0.040 0.798
P 0.665 0.960 0.202
P 0.893 0.420 0.723
O 0.066 0.408 0.111
O 0.120 0.968 0.869
O 0.121 0.456 0.658
O 0.152 0.800 0.264
O 0.234 0.992 0.623
O 0.348 0.554 0.378
O 0.454 0.084 0.180
O 0.468 0.277 0.896
O 0.532 0.723 0.104
O 0.546 0.916 0.820
O 0.652 0.446 0.622
O 0.766 0.008 0.377
O 0.848 0.200 0.736
O 0.879 0.544 0.342
O 0.880 0.032 0.131
O 0.934 0.592 0.889

***

# 5
An optimized crystal structure of CaTiCoP3O12, computed with PBEsol.

Values from the calculation:
* N(E_F): 11.23 states/eV/cell
* crystal system: trigonal

Cell lengths 8.723, 8.723, 8.723 Å; angles 58.94, 58.94, 58.94 degrees
Sites, in units of the cell vectors:
Ca 0.000 0.000 0.000
Ca 0.500 0.500 0.500
Ti 0.150 0.150 0.150
Ti 0.650 0.650 0.650
Co 0.356 0.356 0.356
Co 0.856 0.856 0.856
P 0.044 0.755 0.464
P 0.255 0.544 0.964
P 0.464 0.044 0.755
P 0.544 0.964 0.255
P 0.755 0.464 0.044
P 0.964 0.255 0.544
O 0.003 0.207 0.375
O 0.011 0.805 0.624
O 0.057 0.927 0.274
O 0.088 0.731 0.939
O 0.124 0.305 0.511
O 0.207 0.375 0.003
O 0.231 0.588 0.439
O 0.274 0.057 0.927
O 0.305 0.511 0.124
O 0.375 0.003 0.207
O 0.427 0.557 0.774
O 0.439 0.231 0.588
O 0.503 0.875 0.707
O 0.511 0.124 0.305
O 0.557 0.774 0.427
O 0.588 0.439 0.231
O 0.624 0.011 0.805
O 0.707 0.503 0.875
O 0.731 0.939 0.088
O 0.774 0.427 0.557
O 0.805 0.624 0.011
O 0.875 0.707 0.503
O 0.927 0.274 0.057
O 0.939 0.088 0.731

***

# 6
An optimized crystal structure of Ca6Co3RhO12, computed with PBEsol.

Values from the calculation:
* N(E_F): 12.95 states/eV/cell
* crystal system: trigonal

Cell lengths 6.285, 6.285, 6.285 Å; angles 92.16, 92.16, 92.16 degrees
Sites, in units of the cell vectors:
Ca 0.119 0.744 0.382
Ca 0.256 0.618 0.881
Ca 0.382 0.119 0.744
Ca 0.618 0.881 0.256
Ca 0.744 0.382 0.119
Ca 0.881 0.256 0.618
Co 0.252 0.252 0.252
Co 0.500 0.500 0.500
Co 0.748 0.748 0.748
Rh 0.000 0.000 0.000
O 0.041 0.904 0.700
O 0.096 0.300 0.959
O 0.214 0.412 0.540
O 0.300 0.959 0.096
O 0.412 0.540 0.214
O 0.460 0.786 0.588
O 0.540 0.214 0.412
O 0.588 0.460 0.786
O 0.700 0.041 0.904
O 0.786 0.588 0.460
O 0.904 0.700 0.041
O 0.959 0.096 0.300

***

# 7
An optimized crystal structure of Ca3CoRhO6, computed with PBEsol.

Values from the calculation:
* N(E_F): 9.72 states/eV/cell
* crystal system: monoclinic

Cell lengths 6.329, 6.329, 6.364 Å; angles 91.89, 91.89, 91.70 degrees
Sites, in units of the cell vectors:
Ca 0.120 0.880 0.750
Ca 0.255 0.384 0.617
Ca 0.384 0.255 0.117
Ca 0.616 0.745 0.883
Ca 0.745 0.616 0.383
Ca 0.880 0.120 0.250
Co 0.244 0.756 0.250
Co 0.756 0.244 0.750
Rh 0.000 0.500 0.000
Rh 0.500 0.000 0.500
O 0.040 0.201 0.907
O 0.097 0.465 0.297
O 0.201 0.040 0.407
O 0.297 0.590 0.954
O 0.410 0.703 0.546
O 0.465 0.097 0.797
O 0.535 0.903 0.203
O 0.590 0.297 0.454
O 0.703 0.410 0.046
O 0.799 0.960 0.593
O 0.903 0.535 0.703
O 0.960 0.799 0.093

***

# 8
An optimized crystal structure of Ca5Sc2Co2O12, computed with PBEsol.

Values from the calculation:
* N(E_F): 13.19 states/eV/cell
* crystal system: monoclinic

Cell lengths 6.330, 6.330, 6.283 Å; angles 93.50, 93.50, 91.03 degrees
Sites, in units of the cell vectors:
Ca 0.000 0.000 0.000
Ca 0.127 0.495 0.861
Ca 0.273 0.362 0.374
Ca 0.505 0.873 0.139
Ca 0.638 0.727 0.626
Sc 0.126 0.874 0.500
Sc 0.637 0.363 0.000
Co 0.386 0.113 0.755
Co 0.887 0.614 0.245
O 0.105 0.162 0.675
O 0.170 0.704 0.203
O 0.296 0.830 0.797
O 0.344 0.202 0.044
O 0.416 0.017 0.469
O 0.457 0.403 0.718
O 0.597 0.543 0.282
O 0.663 0.057 0.855
O 0.798 0.656 0.956
O 0.838 0.895 0.325
O 0.943 0.337 0.145
O 0.983 0.584 0.531

***

Calculated values (eV per atom) of formation energy (no corrections) for the records, taken in order: -2.03, -1.68, -2.18, -2.44, -2.33, -2.07, -2.03, -2.55.